The following is a DFT calculation (PBE-GGA) of a geometry-optimized Lu3In structure.

Output
The uncorrected energy comes out at -4.181 eV/atom. Its formation energy is -0.1060 eV per atom. Its mass density is 9.87 g/cm3. For the magnetization, the calculation gives 0.020 μB per cell.

```
Lu3In
1.0
7.551 0.000 0.000
0.000 7.551 0.000
0.000 0.000 7.551
Lu In
12 4
direct
0.000 0.000 0.000 Lu
0.000 0.500 0.500 Lu
0.250 0.250 0.250 Lu
0.250 0.250 0.750 Lu
0.250 0.750 0.250 Lu
0.250 0.750 0.750 Lu
0.500 0.000 0.500 Lu
0.500 0.500 0.000 Lu
0.750 0.250 0.250 Lu
0.750 0.250 0.750 Lu
0.750 0.750 0.250 Lu
0.750 0.750 0.750 Lu
0.000 0.000 0.500 In
0.000 0.500 0.000 In
0.500 0.000 0.000 In
0.500 0.500 0.500 In
```